A PBEsol-optimized structure of CaMgSe2. Source: the Alexandria database, functional meta-GGA SCAN.

formation energy without anion corrections = -1.793 eV/atom
theoretical density = 4.0 Mg/m³
electronic total energy = -61.97 eV/cell
space-group type = P4/mmm, No. 123

Cell: 4.0220 4.0219 5.6958 Å, 90.00 90.00 90.00°
Fractional positions:
Ca  0.5000  0.6250  0.0000
Mg  0.0000  0.1249  0.5000
Se  0.0000  0.1250  0.0000
Se  0.5000  0.6251  0.5000

---

A PBEsol-optimized structure of ZnP2SN. Source: the Alexandria database, functional meta-GGA SCAN.

formation energy without anion corrections = 1.079 eV/atom
theoretical density = 4.3 Mg/m³
electronic total energy = -47.83 eV/cell
space-group type = P4/mmm, No. 123

Cell: 4.0236 4.0236 4.1692 Å, 90.00 90.00 90.00°
Fractional positions:
P  0.0000  0.5000  0.0000
P  0.5000  0.0000  0.0000
Zn  0.5000  0.5000  0.5000
S  0.0000  0.0000  0.5000
N  0.0000  0.0000  0.0000

---

A PBEsol-optimized structure of Zr2Pt. Source: the Alexandria database, functional meta-GGA SCAN.

theoretical density = 10.4 Mg/m³
electronic total energy = -1075.10 eV/cell
E_form = -2.80 eV/f.u.
space-group type = Fd-3m, No. 227

Cell: 8.7945 8.7945 8.7945 Å, 60.00 60.00 60.00°
Fractional positions:
Pt  0.2873  0.9042  0.9042
Pt  0.9042  0.9042  0.9042
Pt  0.9042  0.2873  0.9042
Pt  0.9042  0.9042  0.2873
Pt  0.9627  0.3458  0.3458
Pt  0.3458  0.3458  0.3458
Pt  0.3458  0.9627  0.3458
Pt  0.3458  0.3458  0.9627
Zr  0.1250  0.1250  0.6250
Zr  0.1250  0.6250  0.1250
Zr  0.1250  0.1250  0.1250
Zr  0.6250  0.1250  0.1250
Zr  0.3122  0.6878  0.6878
Zr  0.3122  0.3122  0.6878
Zr  0.3122  0.6878  0.3122
Zr  0.6878  0.3122  0.6878
Zr  0.6878  0.6878  0.3122
Zr  0.6878  0.3122  0.3122
Zr  0.9378  0.5622  0.5622
Zr  0.9378  0.9378  0.5622
Zr  0.9378  0.5622  0.9378
Zr  0.5622  0.9378  0.5622
Zr  0.5622  0.5622  0.9378
Zr  0.5622  0.9378  0.9378

---

A PBEsol-optimized structure of SnSeCl2. Source: the Alexandria database, functional meta-GGA SCAN.

formation energy without anion corrections = -0.164 eV/atom
theoretical density = 4.9 Mg/m³
electronic total energy = -72.61 eV/cell
space-group type = R-3m, No. 166

Cell: 3.3501 3.3501 9.6466 Å, 80.00 80.00 60.00°
Fractional positions:
Sn  0.5000  0.5000  0.5000
Se  0.0000  0.0000  0.0000
Cl  0.9156  0.9156  0.2533
Cl  0.0844  0.0844  0.7467

---

A PBEsol-optimized structure of Tb2AgIr. Source: the Alexandria database, functional meta-GGA SCAN.

theoretical density = 12.3 Mg/m³
electronic total energy = -198.89 eV/cell
E_form = -2.90 eV/f.u.
space-group type = Fm-3m, No. 225

Cell: 4.9059 4.9059 4.9059 Å, 60.00 60.00 60.00°
Fractional positions:
Ir  0.0000  0.0000  0.0000
Tb  0.7500  0.7500  0.7500
Tb  0.2500  0.2500  0.2500
Ag  0.5000  0.5000  0.5000

---

A PBEsol-optimized structure of BiCF2. Source: the Alexandria database, functional meta-GGA SCAN.

formation energy without anion corrections = 0.560 eV/atom
theoretical density = 6.7 Mg/m³
electronic total energy = -93.52 eV/cell
space-group type = R-3m, No. 166

Cell: 3.4698 3.4698 6.4939 Å, 74.50 74.50 60.00°
Fractional positions:
C  0.5000  0.5000  0.5000
Bi  0.0000  0.0000  0.0000
F  0.8758  0.8758  0.3726
F  0.1242  0.1242  0.6274

---

A PBEsol-optimized structure of ReTcP2O. Source: the Alexandria database, functional meta-GGA SCAN.

formation energy without anion corrections = 0.583 eV/atom
theoretical density = 7.7 Mg/m³
electronic total energy = -130.27 eV/cell
space-group type = P4/mmm, No. 123

Cell: 3.5315 4.6890 4.6890 Å, 90.00 90.00 90.00°
Fractional positions:
Re  0.5000  0.5000  0.5000
Tc  0.0000  0.0000  0.0000
O  0.5000  0.0000  0.0000
P  0.0000  0.0000  0.5000
P  0.0000  0.5000  0.0000

---

A PBEsol-optimized structure of Zr. Source: the Alexandria database, functional meta-GGA SCAN.

theoretical density = 6.8 Mg/m³
electronic total energy = -60.37 eV/cell
E_form = 0.52 eV/f.u.
space-group type = I4_1/amd, No. 141

Cell: 3.0233 4.1379 4.1379 Å, 82.33 68.57 68.57°
Fractional positions:
Zr  0.0000  0.0000  0.0000
Zr  0.7500  0.5000  0.5000